Entry 1:
Density functional theory data (GGA-PBE) for a relaxed Al2TeS4 crystal.

Output
- Space group: No. 87
- DOS at the Fermi energy: 0.0 states/eV/cell
- Formation energy without anion corrections: -0.736 eV/atom
- Size of the total moment: 0.00 μB/cell
- Calculated total energy: -32.3 eV for the cell shown

Cell and atoms, written as extended XYZ:
```
7
Lattice="-2.818 -3.848 3.870 6.123 -0.021 -0.480 -1.337 5.588 2.168" Properties=species:S:1:pos:R:3 pbc="T T T"
S -0.648 1.567 2.420
S -0.418 -2.180 3.432
S 2.385 3.900 2.126
S 2.615 0.152 3.137
Te 1.652 -1.934 1.695
Al 3.219 1.817 1.692
Al -1.251 -0.097 3.866
```



Entry 2:
Density functional theory data (GGA-PBE) for a relaxed Al4TeS7 crystal.

Output
- Space group: No. 31
- DOS at the Fermi energy: 9.8 states/eV/cell
- Formation energy without anion corrections: -0.746 eV/atom
- Size of the total moment: 1.79 μB/cell
- Calculated total energy: -111.9 eV for the cell shown

Cell and atoms, written as extended XYZ:
```
24
Lattice="-0.476 -4.856 -3.654 4.316 -3.181 3.665 -11.236 -5.357 8.583" Properties=species:S:1:pos:R:3 pbc="T T T"
Al -7.191 -9.580 7.731
Al 0.667 -4.238 4.942
Al -2.263 -4.625 0.754
Al -5.665 -4.879 6.369
Al -2.702 -3.466 4.105
Al 1.081 -5.636 1.411
Al -4.904 -6.894 9.198
Al -7.928 -7.326 5.082
Te -1.656 -9.029 5.515
Te -0.036 -0.801 -0.547
S 1.061 -7.430 0.055
S -3.032 -5.247 2.772
S -8.601 -7.998 7.089
S -4.612 -10.098 4.275
S -1.831 -8.772 2.150
S -0.146 -3.967 0.630
S -5.031 -8.862 7.954
S -8.165 -9.059 3.541
S -2.626 -6.418 -0.691
S 0.666 -6.146 3.602
S 3.391 -5.143 1.229
S -4.939 -3.219 4.843
S -7.389 -11.458 6.510
S -5.818 -6.575 4.900
```